1.
Entry from Alexandria: a relaxed Na4TlCu3F12 crystal (PBE-GGA).

a = 7.1377 Å, b = 7.1377 Å, c = 7.1377 Å
α = 109.47°, β = 109.47°, γ = 109.47°
Atoms (fractional coordinates):
Na: 0.0000 0.0000 0.5000
Na: 0.0000 0.5000 0.0000
Na: 0.5000 0.0000 0.0000
Na: 0.5000 0.5000 0.5000
Tl: 0.0000 0.0000 0.0000
Cu: 0.0000 0.5000 0.5000
Cu: 0.5000 0.0000 0.5000
Cu: 0.5000 0.5000 0.0000
F: 0.1572 0.4939 0.3368
F: 0.1572 0.8204 0.6632
F: 0.1796 0.3368 0.8428
F: 0.3368 0.1572 0.4939
F: 0.3368 0.8428 0.1796
F: 0.4939 0.3368 0.1572
F: 0.5061 0.6632 0.8428
F: 0.6632 0.1572 0.8204
F: 0.6632 0.8428 0.5061
F: 0.8204 0.6632 0.1572
F: 0.8428 0.1796 0.3368
F: 0.8428 0.5061 0.6632

Computed properties:
**Total DFT energy (no corrections)**: -83.7 eV/cell
**Crystal system**: cubic
**Space-group type**: Im-3, No. 204



2.
Entry from Alexandria: a relaxed NaTlCuF2 crystal (PBE-GGA).

a = 4.9049 Å, b = 4.9049 Å, c = 4.9719 Å
α = 90.00°, β = 90.00°, γ = 90.00°
Atoms (fractional coordinates):
Na: 0.0000 0.0000 0.0000
Tl: 0.5000 0.5000 0.5000
Cu: 0.5000 0.5000 0.0000
F: 0.0000 0.5000 0.5000
F: 0.5000 0.0000 0.5000

Computed properties:
**Total DFT energy (no corrections)**: -16.5 eV/cell
**Crystal system**: tetragonal
**Space-group type**: P4/mmm, No. 123